1.
First-principles (PBE) data for a geometry-optimized NaInTcSn2 structure, as listed in Alexandria via LeMat-Bulk. Values from VASP.

Quantum ESPRESSO input file:
```
&SYSTEM
  ibrav = 0, nat = 5, ntyp = 4
/
ATOMIC_SPECIES
Tc 98.00 Tc.upf
In 114.82 In.upf
Sn 118.71 Sn.upf
Na 22.99 Na.upf
ATOMIC_POSITIONS crystal
Tc 0.000 0.000 0.000
In 0.000 0.000 0.500
Sn 0.000 0.500 0.000
Sn 0.500 0.000 0.000
Na 0.500 0.500 0.500
CELL_PARAMETERS angstrom
5.210 0.000 0.000
0.000 5.210 0.000
0.000 0.000 5.286
```

## Properties
As for the formation energy: 1.92 kcal/mol of atoms.

2.
First-principles (PBE) data for a geometry-optimized Na2InSnTe4 structure, as listed in Alexandria via LeMat-Bulk. Values from VASP.

Quantum ESPRESSO input file:
```
&SYSTEM
  ibrav = 0, nat = 8, ntyp = 4
/
ATOMIC_SPECIES
Na 22.99 Na.upf
Te 127.60 Te.upf
In 114.82 In.upf
Sn 118.71 Sn.upf
ATOMIC_POSITIONS crystal
Na 0.486 0.986 0.972
Na 0.236 0.236 0.472
Te 0.350 0.832 0.217
Te 0.087 0.121 0.727
Te 0.867 0.385 0.216
Te 0.640 0.605 0.727
In 0.986 0.486 0.971
Sn 0.736 0.736 0.472
CELL_PARAMETERS angstrom
-0.588 -1.997 -6.882
1.320 -6.819 1.863
-6.629 3.422 3.332
```

## Properties
The formation energy (no corrections) comes out at -0.477 eV/atom.

3.
First-principles (PBE) data for a geometry-optimized Na2InSnTe5 structure, as listed in Alexandria via LeMat-Bulk. Values from VASP.

Quantum ESPRESSO input file:
```
&SYSTEM
  ibrav = 0, nat = 18, ntyp = 4
/
ATOMIC_SPECIES
In 114.82 In.upf
Te 127.60 Te.upf
Sn 118.71 Sn.upf
Na 22.99 Na.upf
ATOMIC_POSITIONS crystal
In 0.594 0.189 0.964
In 0.406 0.811 0.464
Te 0.519 0.038 0.798
Te 0.720 0.440 0.907
Te 0.775 0.550 0.194
Te 0.401 0.801 0.933
Te 0.481 0.962 0.298
Te 0.928 0.856 0.597
Te 0.225 0.450 0.694
Te 0.280 0.560 0.407
Te 0.599 0.199 0.433
Te 0.072 0.144 0.097
Sn 0.715 0.430 0.535
Sn 0.285 0.570 0.035
Na 0.071 0.141 0.621
Na 0.158 0.315 0.276
Na 0.929 0.859 0.121
Na 0.842 0.685 0.776
CELL_PARAMETERS angstrom
4.222 0.000 0.000
-2.111 11.143 0.000
0.000 0.000 13.247
```

## Properties
The formation energy (no corrections) comes out at -0.402 eV/atom.

4.
First-principles (PBE) data for a geometry-optimized NaThInSn structure, as listed in Alexandria via LeMat-Bulk. Values from VASP.

Quantum ESPRESSO input file:
```
&SYSTEM
  ibrav = 0, nat = 4, ntyp = 4
/
ATOMIC_SPECIES
Na 22.99 Na.upf
Th 232.04 Th.upf
In 114.82 In.upf
Sn 118.71 Sn.upf
ATOMIC_POSITIONS crystal
Na 0.750 0.750 0.750
Th 0.250 0.250 0.250
In 0.000 0.000 0.000
Sn 0.500 0.500 0.500
CELL_PARAMETERS angstrom
-1.437 4.436 -2.725
-3.398 3.557 2.230
1.807 4.840 1.574
```

## Properties
As for the formation energy: -3.72 kcal/mol of atoms.

5.
First-principles (PBE) data for a geometry-optimized NaTlIn2Sn structure, as listed in Alexandria via LeMat-Bulk. Values from VASP.

Quantum ESPRESSO input file:
```
&SYSTEM
  ibrav = 0, nat = 10, ntyp = 4
/
ATOMIC_SPECIES
In 114.82 In.upf
Na 22.99 Na.upf
Tl 204.38 Tl.upf
Sn 118.71 Sn.upf
ATOMIC_POSITIONS crystal
In 0.342 0.684 0.487
In 0.342 0.684 0.013
In 0.658 0.316 0.987
In 0.658 0.316 0.513
Na 0.154 0.309 0.250
Na 0.846 0.691 0.750
Tl 0.000 0.000 0.000
Tl 0.000 0.000 0.500
Sn 0.185 0.370 0.750
Sn 0.815 0.630 0.250
CELL_PARAMETERS angstrom
4.588 0.000 0.000
-2.294 7.395 0.000
0.000 0.000 8.897
```

## Properties
As for the formation energy: 0.13 kcal/mol of atoms.

6.
First-principles (PBE) data for a geometry-optimized Na2Tl5InSn structure, as listed in Alexandria via LeMat-Bulk. Values from VASP.

Quantum ESPRESSO input file:
```
&SYSTEM
  ibrav = 0, nat = 18, ntyp = 4
/
ATOMIC_SPECIES
In 114.82 In.upf
Tl 204.38 Tl.upf
Na 22.99 Na.upf
Sn 118.71 Sn.upf
ATOMIC_POSITIONS crystal
In 0.761 0.521 0.423
In 0.239 0.479 0.923
Tl 0.584 0.168 0.270
Tl 0.751 0.502 0.763
Tl 0.413 0.825 0.083
Tl 0.918 0.837 0.593
Tl 0.252 0.504 0.587
Tl 0.082 0.163 0.093
Tl 0.748 0.496 0.087
Tl 0.587 0.175 0.583
Tl 0.249 0.498 0.263
Tl 0.416 0.832 0.770
Na 0.082 0.164 0.428
Na 0.914 0.828 0.253
Na 0.086 0.172 0.753
Na 0.918 0.836 0.928
Sn 0.591 0.182 0.925
Sn 0.409 0.818 0.425
CELL_PARAMETERS angstrom
-0.299 3.928 2.661
-3.190 -5.728 3.850
13.361 -3.229 6.266
```

## Properties
As for the formation energy: -1.60 kcal/mol of atoms.

7.
First-principles (PBE) data for a geometry-optimized NaTl2In6Sn2 structure, as listed in Alexandria via LeMat-Bulk. Values from VASP.

Quantum ESPRESSO input file:
```
&SYSTEM
  ibrav = 0, nat = 11, ntyp = 4
/
ATOMIC_SPECIES
Tl 204.38 Tl.upf
In 114.82 In.upf
Na 22.99 Na.upf
Sn 118.71 Sn.upf
ATOMIC_POSITIONS crystal
Tl 0.143 0.811 0.585
Tl 0.857 0.189 0.415
In 0.317 0.908 0.046
In 0.412 0.457 0.772
In 0.588 0.543 0.228
In 0.683 0.092 0.954
In 0.224 0.358 0.312
In 0.776 0.642 0.688
Na 0.500 0.000 0.500
Sn 0.053 0.279 0.872
Sn 0.947 0.721 0.128
CELL_PARAMETERS angstrom
0.044 5.538 -0.330
-0.533 2.947 -7.682
-7.098 -1.112 3.448
```

## Properties
As for the formation energy: -0.23 kcal/mol of atoms.

8.
First-principles (PBE) data for a geometry-optimized NaTl2In5Sn structure, as listed in Alexandria via LeMat-Bulk. Values from VASP.

Quantum ESPRESSO input file:
```
&SYSTEM
  ibrav = 0, nat = 18, ntyp = 4
/
ATOMIC_SPECIES
In 114.82 In.upf
Sn 118.71 Sn.upf
Na 22.99 Na.upf
Tl 204.38 Tl.upf
ATOMIC_POSITIONS crystal
In 0.246 0.493 0.260
In 0.754 0.507 0.760
In 0.750 0.500 0.093
In 0.417 0.834 0.090
In 0.586 0.173 0.254
In 0.912 0.824 0.595
In 0.583 0.166 0.590
In 0.414 0.827 0.754
In 0.250 0.500 0.593
In 0.088 0.176 0.095
Sn 0.250 0.499 0.931
Sn 0.750 0.501 0.431
Na 0.585 0.171 0.924
Na 0.415 0.829 0.424
Tl 0.921 0.842 0.925
Tl 0.087 0.173 0.754
Tl 0.913 0.827 0.254
Tl 0.079 0.158 0.425
CELL_PARAMETERS angstrom
4.587 0.000 0.000
-2.294 7.865 0.000
0.000 0.000 13.850
```

## Properties
As for the formation energy: -0.42 kcal/mol of atoms.

9.
First-principles (PBE) data for a geometry-optimized Na2Tl2InSn structure, as listed in Alexandria via LeMat-Bulk. Values from VASP.

Quantum ESPRESSO input file:
```
&SYSTEM
  ibrav = 0, nat = 12, ntyp = 4
/
ATOMIC_SPECIES
Na 22.99 Na.upf
In 114.82 In.upf
Tl 204.38 Tl.upf
Sn 118.71 Sn.upf
ATOMIC_POSITIONS crystal
Na 0.245 0.587 0.689
Na 0.745 0.413 0.311
Na 0.745 0.102 0.689
Na 0.245 0.898 0.311
In 0.496 0.000 0.000
In 0.996 0.000 0.000
Tl 0.745 0.619 0.722
Tl 0.745 0.898 0.278
Tl 0.245 0.102 0.722
Tl 0.245 0.381 0.278
Sn 0.496 0.500 0.000
Sn 0.996 0.500 0.000
CELL_PARAMETERS angstrom
-3.219 0.198 6.037
-5.812 -1.117 -3.063
3.962 -7.177 2.348
```

## Properties
As for the formation energy: -2.01 kcal/mol of atoms.

10.
First-principles (PBE) data for a geometry-optimized NaTlIn3Sn structure, as listed in Alexandria via LeMat-Bulk. Values from VASP.

Quantum ESPRESSO input file:
```
&SYSTEM
  ibrav = 0, nat = 12, ntyp = 4
/
ATOMIC_SPECIES
Na 22.99 Na.upf
Tl 204.38 Tl.upf
Sn 118.71 Sn.upf
In 114.82 In.upf
ATOMIC_POSITIONS crystal
Na 0.750 0.372 0.869
Na 0.250 0.628 0.131
Tl 0.250 0.114 0.285
Tl 0.750 0.886 0.715
Sn 0.250 0.127 0.616
Sn 0.750 0.873 0.384
In 0.250 0.128 0.964
In 0.750 0.372 0.537
In 0.250 0.625 0.785
In 0.750 0.872 0.036
In 0.250 0.628 0.463
In 0.750 0.375 0.215
CELL_PARAMETERS angstrom
4.554 0.000 0.000
0.000 7.776 -1.193
0.000 -3.249 9.875
```

## Properties
As for the formation energy: -0.65 kcal/mol of atoms.

11.
First-principles (PBE) data for a geometry-optimized Na2Tl2In2Sn structure, as listed in Alexandria via LeMat-Bulk. Values from VASP.

Quantum ESPRESSO input file:
```
&SYSTEM
  ibrav = 0, nat = 7, ntyp = 4
/
ATOMIC_SPECIES
In 114.82 In.upf
Sn 118.71 Sn.upf
Na 22.99 Na.upf
Tl 204.38 Tl.upf
ATOMIC_POSITIONS crystal
In 0.234 0.468 0.383
In 0.766 0.532 0.617
Sn 0.000 0.000 0.500
Na 0.548 0.096 0.760
Na 0.452 0.904 0.240
Tl 0.312 0.624 0.866
Tl 0.688 0.376 0.134
CELL_PARAMETERS angstrom
-1.439 -0.229 -4.290
5.886 -0.028 0.420
-5.388 -8.290 2.249
```

## Properties
As for the formation energy: -0.90 kcal/mol of atoms.

12.
First-principles (PBE) data for a geometry-optimized Na2Tl2In5Sn2 structure, as listed in Alexandria via LeMat-Bulk. Values from VASP.

Quantum ESPRESSO input file:
```
&SYSTEM
  ibrav = 0, nat = 11, ntyp = 4
/
ATOMIC_SPECIES
Na 22.99 Na.upf
In 114.82 In.upf
Sn 118.71 Sn.upf
Tl 204.38 Tl.upf
ATOMIC_POSITIONS crystal
Na 0.921 0.921 0.843
Na 0.079 0.079 0.157
In 0.140 0.640 0.281
In 0.000 0.000 0.000
In 0.860 0.360 0.719
In 0.640 0.140 0.281
In 0.360 0.860 0.719
Sn 0.304 0.304 0.607
Sn 0.696 0.696 0.393
Tl 0.779 0.779 0.559
Tl 0.221 0.221 0.441
CELL_PARAMETERS angstrom
4.388 0.000 0.000
0.000 4.388 0.000
-2.194 -2.194 20.379
```

## Properties
As for the formation energy: 2.75 kcal/mol of atoms.